w:
{"formula": "Th2HgS", "functional": "PBE-GGA", "state": "relaxed", "cell": [[2.003, 1.157, 7.905], [-2.003, 1.157, 7.905], [0.000, -2.313, 7.905]], "species": ["Th", "Th", "Hg", "S"], "frac_coords": [[0.236, 0.236, 0.236], [0.764, 0.764, 0.764], [0.000, 0.000, 0.000], [0.500, 0.500, 0.500]], "volume_a3_per_fu": 109.9, "magnetic_moment_mub_per_cell": 0.00}

=====

x:
{"formula": "Th2HgS", "functional": "PBE-GGA", "state": "relaxed", "cell": [[1.966, 1.135, 8.163], [-1.966, 1.135, 8.163], [0.000, -2.270, 8.163]], "species": ["Th", "Th", "Hg", "S"], "frac_coords": [[0.000, 0.000, 0.000], [0.195, 0.195, 0.195], [0.765, 0.765, 0.765], [0.598, 0.598, 0.598]], "volume_a3_per_fu": 109.3, "magnetic_moment_mub_per_cell": 0.00}

=====

Of them, the most stable is w and the least stable is x.

=====

w:
{"formula": "Ti2HgS", "functional": "PBE-GGA", "state": "relaxed", "cell": [[0.000, 3.236, 3.236], [3.236, 0.000, 3.236], [3.236, 3.236, 0.000]], "species": ["Ti", "Ti", "Hg", "S"], "frac_coords": [[0.250, 0.250, 0.250], [0.750, 0.750, 0.750], [0.000, 0.000, 0.000], [0.500, 0.500, 0.500]], "volume_a3_per_fu": 67.8, "magnetic_moment_mub_per_cell": 0.00}

=====

x:
{"formula": "Ti2HgS", "functional": "PBE-GGA", "state": "relaxed", "cell": [[1.707, 0.986, 7.042], [-1.707, 0.986, 7.042], [0.000, -1.971, 7.042]], "species": ["Ti", "Ti", "Hg", "S"], "frac_coords": [[0.000, 0.000, 0.000], [0.212, 0.212, 0.212], [0.438, 0.438, 0.438], [0.606, 0.606, 0.606]], "volume_a3_per_fu": 71.1, "magnetic_moment_mub_per_cell": 0.00}

=====

y:
{"formula": "Ti2HgS", "functional": "PBE-GGA", "state": "relaxed", "cell": [[-2.675, 2.675, 6.526], [2.675, -2.675, 6.526], [2.675, 2.675, -6.526]], "species": ["Ti", "Ti", "Ti", "Ti", "Hg", "Hg", "S", "S"], "frac_coords": [[0.052, 0.625, 0.927], [0.375, 0.302, 0.427], [0.698, 0.125, 0.073], [0.875, 0.948, 0.573], [0.250, 0.750, 0.500], [0.500, 0.500, 0.000], [0.000, 0.000, 0.000], [0.750, 0.250, 0.500]], "volume_a3_per_fu": 93.4, "magnetic_moment_mub_per_cell": 0.00}

=====

z:
{"formula": "Ti2HgS", "functional": "PBE-GGA", "state": "relaxed", "cell": [[1.714, 0.990, 6.961], [-1.714, 0.990, 6.961], [0.000, -1.980, 6.961]], "species": ["Ti", "Ti", "Hg", "S"], "frac_coords": [[0.228, 0.228, 0.228], [0.772, 0.772, 0.772], [0.000, 0.000, 0.000], [0.500, 0.500, 0.500]], "volume_a3_per_fu": 70.9, "magnetic_moment_mub_per_cell": 0.00}

=====

Of them, the most stable is z and the least stable is y.

=====

w:
{"formula": "TiHg3S", "functional": "PBE-GGA", "state": "relaxed", "cell": [[5.197, 0.000, 0.000], [0.000, 5.197, 0.000], [0.000, 0.000, 5.197]], "species": ["Ti", "Hg", "Hg", "Hg", "S"], "frac_coords": [[0.000, 0.000, 0.000], [0.000, 0.500, 0.500], [0.500, 0.000, 0.500], [0.500, 0.500, 0.000], [0.500, 0.500, 0.500]], "volume_a3_per_fu": 140.4, "magnetic_moment_mub_per_cell": 2.63}

=====

x:
{"formula": "TiHg3S", "functional": "PBE-GGA", "state": "relaxed", "cell": [[5.399, 0.000, 0.000], [0.000, 5.399, 0.000], [0.000, 0.000, 5.399]], "species": ["Ti", "Hg", "Hg", "Hg", "S"], "frac_coords": [[0.000, 0.000, 0.000], [0.000, 0.000, 0.500], [0.000, 0.500, 0.000], [0.500, 0.000, 0.000], [0.500, 0.500, 0.500]], "volume_a3_per_fu": 157.4, "magnetic_moment_mub_per_cell": 1.39}

=====

Of them, the most stable is x and the least stable is w.

=====

w:
{"formula": "Ti3HgS", "functional": "PBE-GGA", "state": "relaxed", "cell": [[4.510, 0.000, 0.000], [0.000, 4.510, 0.000], [0.000, 0.000, 4.510]], "species": ["Ti", "Ti", "Ti", "Hg", "S"], "frac_coords": [[0.000, 0.000, 0.500], [0.000, 0.500, 0.000], [0.500, 0.000, 0.000], [0.500, 0.500, 0.500], [0.000, 0.000, 0.000]], "volume_a3_per_fu": 91.7, "magnetic_moment_mub_per_cell": 0.00}

=====

x:
{"formula": "Ti3HgS", "functional": "PBE-GGA", "state": "relaxed", "cell": [[5.046, 0.000, 0.000], [0.000, 5.046, 0.000], [0.000, 0.000, 5.046]], "species": ["Ti", "Ti", "Ti", "Hg", "S"], "frac_coords": [[0.000, 0.000, 0.500], [0.000, 0.500, 0.000], [0.500, 0.000, 0.000], [0.000, 0.000, 0.000], [0.500, 0.500, 0.500]], "volume_a3_per_fu": 128.5, "magnetic_moment_mub_per_cell": 4.07}

=====

Of them, the most stable is w and the least stable is x.